# PaMnCuO4

An optimized crystal structure of PaMnCuO4 (PBE with a Hubbard U, the Alexandria database).

Properties
DFT total energy = -109.20 eV/cell

Unit cell a=6.1932 b=6.4083 c=6.4083 alpha=66.56 beta=61.10 gamma=61.10
Element x y z (fractional)
Pa (0.0000, 0.0000, 0.0000)
Pa (0.0000, 0.5000, 0.5000)
Mn (0.5000, 0.0000, 0.5000)
Mn (0.0000, 0.0000, 0.5000)
Cu (0.6926, 0.5574, 0.0574)
Cu (0.3074, 0.4426, 0.9426)
O (0.7528, 0.7663, 0.7281)
O (0.2472, 0.7719, 0.7337)
O (0.7528, 0.2281, 0.2663)
O (0.2472, 0.2337, 0.2719)
O (0.2014, 0.7688, 0.2688)
O (0.7610, 0.7688, 0.2688)
O (0.2390, 0.2312, 0.7312)
O (0.7986, 0.2312, 0.7312)